VASP calculation (PBE) on an optimized crystal structure of Pm2Ga2Co15.

```
Pm2Ga2Co15
1.0
4.211 2.431 4.091
-4.211 2.431 4.091
0.000 -4.863 4.091
Pm Ga Co
2 2 15
direct
0.149 0.149 0.149
0.851 0.851 0.851
0.394 0.394 0.394
0.606 0.606 0.606
0.000 0.500 0.500
0.151 0.151 0.650
0.151 0.650 0.151
0.213 0.500 0.787
0.213 0.787 0.500
0.350 0.849 0.849
0.500 0.000 0.500
0.500 0.213 0.787
0.500 0.500 0.000
0.500 0.787 0.213
0.650 0.151 0.151
0.787 0.213 0.500
0.787 0.500 0.213
0.849 0.350 0.849
0.849 0.849 0.350
```

The density is 8.68 Mg/m³. Its magnetic moment is 1.10 μB per atom. Its total DFT energy (no corrections) is -6.521 eV per atom. The calculated formation energy is -0.092 eV/atom.